No. 1
SiAsS2: optimized geometry, PBE.

Structure (extended XYZ):
```
4
Lattice="-7.3398 -2.7067 1.7232 -5.3989 -5.2999 2.6327 -5.8553 -2.7192 4.7423" Properties=species:S:1:pos:R:3 pbc="T T T"
As 0.0000 0.0000 0.0000
S -16.5579 -9.5513 8.1019
S -2.0362 -1.1746 0.9963
Si -9.2970 -5.3629 4.5491
```

Results
SG: R-3m (166)
formation energy from raw total energies: -39 meV per atom
E_tot: -4.621 eV/atom
density: 3.64 g cm⁻³
DOS(E_F): 0.304 states/eV per atom

=====

No. 2
SiAs2S4: optimized geometry, PBE.

Structure (extended XYZ):
```
7
Lattice="6.9812 0.0000 0.0000 0.0000 6.9812 0.0000 -3.4906 -3.4906 2.9206" Properties=species:S:1:pos:R:3 pbc="T T T"
As 0.0000 3.4906 1.4603
S 1.1886 1.1886 1.5842
S 2.3019 4.6792 1.3364
As 3.4906 0.0000 1.4603
S 4.6792 2.3020 1.3364
S -1.1886 -1.1886 1.5842
Si 3.4906 3.4906 0.0000
```

Results
SG: I-42m (121)
formation energy from raw total energies: -142 meV per atom
E_tot: -4.604 eV/atom
density: 3.57 g cm⁻³
DOS(E_F): 0.132 states/eV per atom

=====

No. 3
SiAs2S: optimized geometry, PBE.

Structure (extended XYZ):
```
4
Lattice="-2.9216 -3.3342 1.2686 -4.1277 1.0911 1.7419 -3.8203 -0.7778 -2.4623" Properties=species:S:1:pos:R:3 pbc="T T T"
As -8.1522 -2.2657 0.4112
As -2.7174 -0.7552 0.1371
Si 0.0000 0.0000 0.0000
S -5.4348 -1.5104 0.2741
```

Results
SG: Fm-3m (225)
formation energy from raw total energies: 558 meV per atom
E_tot: -4.154 eV/atom
density: 5.03 g cm⁻³
DOS(E_F): 0.551 states/eV per atom

=====

No. 4
Sm6SiAs2S3: optimized geometry, PBE.

Structure (extended XYZ):
```
12
Lattice="-1.3791 1.6678 -3.5227 -7.0676 2.0035 3.7155 5.8224 6.4014 3.1775" Properties=species:S:1:pos:R:3 pbc="T T T"
Sm 2.6935 8.5533 0.5689
Sm -3.0568 6.6945 4.3662
Sm 0.4325 3.3782 -0.9960
S -4.2234 1.8357 0.0964
As -1.9791 6.9838 1.6551
Sm -3.1091 4.4067 0.8774
As -0.6453 3.0889 1.7151
Si -0.6896 0.8339 -1.7614
Sm 0.4848 5.6660 2.4928
S -4.1615 4.0946 3.5678
S 1.5372 5.9781 -0.1976
Sm -5.3178 1.5194 2.8012
```

Results
SG: C2/m (12)
formation energy from raw total energies: -1671 meV per atom
E_tot: -6.289 eV/atom
density: 6.55 g cm⁻³
DOS(E_F): 0.298 states/eV per atom

=====

No. 5
Sm4SiAs2S: optimized geometry, PBE.

Structure (extended XYZ):
```
8
Lattice="-2.6716 -3.0518 -0.9148 5.5158 -4.2506 -1.9284 2.2866 -3.7289 5.7621" Properties=species:S:1:pos:R:3 pbc="T T T"
S 1.4221 -3.6512 -1.4216
As 2.2866 -3.7289 5.7621
Sm 3.3613 -5.6375 -0.4590
Sm -0.7080 -5.0608 0.0525
Sm 1.7694 -5.3939 3.3779
Sm 5.8387 -5.9706 2.8664
Si 3.9011 -3.9898 1.9169
As -0.1925 -3.3904 2.4236
```

Results
SG: P2/m (10)
formation energy from raw total energies: -1453 meV per atom
E_tot: -6.169 eV/atom
density: 6.57 g cm⁻³
DOS(E_F): 0.162 states/eV per atom

=====

No. 6
Sm6Si2AsS3: optimized geometry, PBE.

Structure (extended XYZ):
```
12
Lattice="-0.7829 3.7744 -1.4891 -2.5051 -3.3325 -7.1299 -7.1768 -1.5465 5.5869" Properties=species:S:1:pos:R:3 pbc="T T T"
Sm -7.3217 -2.8166 -3.2898
Sm -0.6589 -0.8378 -1.7772
S -5.8694 1.5626 1.3128
S -4.5954 -2.6673 -4.3448
S -1.6440 0.2209 -4.3095
Si -7.1068 -0.1070 -2.2686
Sm -6.0875 -1.1631 0.2523
As -0.3914 1.8872 -0.7445
Si -3.3580 -0.9977 -0.7634
Sm -9.8059 -0.2669 -1.2548
Sm -4.3773 0.0584 -3.2844
Sm -3.1431 1.7119 0.2578
```

Results
SG: C2/m (12)
formation energy from raw total energies: -1526 meV per atom
E_tot: -6.209 eV/atom
density: 6.27 g cm⁻³
DOS(E_F): 0.192 states/eV per atom

=====

No. 7
Sm6SiAs3S2: optimized geometry, PBE.

Structure (extended XYZ):
```
12
Lattice="4.1551 0.0000 0.0000 0.0000 8.3082 0.3100 -2.0775 -2.3798 8.7300" Properties=species:S:1:pos:R:3 pbc="T T T"
As 0.0000 6.1088 3.1885
Sm 2.0775 -0.1017 2.9144
S 2.0775 3.9296 5.9926
Sm 2.0775 4.0581 3.0843
Sm 0.0000 2.0557 0.0954
Sm 2.0775 3.8727 8.9446
As 2.0775 -0.1804 5.8515
Si 2.0775 0.0000 0.0000
As 2.0775 4.1541 0.1550
Sm 0.0000 6.0301 6.1256
S 0.0000 1.9988 3.0474
Sm 0.0000 1.8704 5.9557
```

Results
SG: C2/m (12)
formation energy from raw total energies: -1579 meV per atom
E_tot: -6.241 eV/atom
density: 6.65 g cm⁻³
DOS(E_F): 0.182 states/eV per atom

=====

No. 8
SiSn2AsS: optimized geometry, PBE.

Structure (extended XYZ):
```
5
Lattice="5.4220 0.0000 0.0000 0.0000 4.5069 0.0000 0.0000 0.0000 5.4220" Properties=species:S:1:pos:R:3 pbc="T T T"
Si 0.0000 0.0000 0.0000
As 0.0000 2.2534 0.0000
S 2.7110 2.2534 2.7110
Sn 0.0000 0.0000 2.7110
Sn 2.7110 0.0000 0.0000
```

Results
SG: P4/mmm (123)
formation energy from raw total energies: 520 meV per atom
E_tot: -3.921 eV/atom
density: 4.67 g cm⁻³
DOS(E_F): 0.364 states/eV per atom

=====

No. 9
Tb6SiAs2S3: optimized geometry, PBE.

Structure (extended XYZ):
```
12
Lattice="-1.0849 -0.2618 3.8993 -7.5462 -1.8189 -2.2217 4.3894 -7.7773 -1.4103" Properties=species:S:1:pos:R:3 pbc="T T T"
As -1.2357 -3.2521 -0.5622
Tb -4.3572 -6.9803 -1.6810
Tb -5.6853 -1.3832 -1.6747
S 0.7483 -5.6876 1.9356
Tb 0.1155 -2.8778 1.9482
S -4.3155 -1.0404 0.8388
Tb -0.5736 -6.0380 -0.5650
Tb 1.4436 -8.4748 1.9419
As -3.0059 -6.6060 0.8294
Si -0.5424 -0.1309 1.9496
S -4.9900 -4.1705 -1.6684
Tb -3.6681 -3.8200 0.8323
```

Results
SG: C2/m (12)
formation energy from raw total energies: -1676 meV per atom
E_tot: -6.250 eV/atom
density: 7.25 g cm⁻³
DOS(E_F): 0.281 states/eV per atom

=====

No. 10
Tb6Si2AsS3: optimized geometry, PBE.

Structure (extended XYZ):
```
12
Lattice="-3.8584 -1.1368 -0.5096 2.4868 -7.1863 -2.7979 1.1946 -0.8278 8.9319" Properties=species:S:1:pos:R:3 pbc="T T T"
Tb 0.6230 -1.8156 -0.6671
Si 0.5846 -2.8630 1.9602
S -2.0090 -2.6933 5.0898
Tb 1.7801 -7.4849 3.2194
Tb -1.9571 -1.6659 2.4050
S -0.6858 -4.1615 -1.6538
Si -0.7617 -6.2879 3.6642
As -1.9292 -0.5684 -0.2548
Tb 0.5494 -3.9309 4.6100
S 1.8320 -6.4575 0.5346
Tb -0.8000 -7.3353 6.2915
Tb -0.7264 -5.2199 1.0144
```

Results
SG: C2/m (12)
formation energy from raw total energies: -1536 meV per atom
E_tot: -6.174 eV/atom
density: 6.95 g cm⁻³
DOS(E_F): 0.186 states/eV per atom

=====

No. 11
Tb4SiAs2S: optimized geometry, PBE.

Structure (extended XYZ):
```
8
Lattice="-2.2866 -3.3625 0.3270 3.6587 -1.9276 5.7642 -3.1278 2.6892 5.7829" Properties=species:S:1:pos:R:3 pbc="T T T"
Tb -2.1566 -3.1679 3.2377
As -3.1278 2.6892 5.7829
Tb 0.4009 0.5670 8.6363
Tb 0.8083 -2.4486 5.9217
S -2.4418 0.0442 8.8284
Tb -2.5640 -0.1523 5.9523
As -2.7072 -0.3367 3.0549
Si 0.2654 0.3809 5.7735
```

Results
SG: P2/m (10)
formation energy from raw total energies: -1464 meV per atom
E_tot: -6.135 eV/atom
density: 7.24 g cm⁻³
DOS(E_F): 0.165 states/eV per atom

=====

No. 12
Tb6SiAs3S2: optimized geometry, PBE.

Structure (extended XYZ):
```
12
Lattice="4.0778 0.0000 0.0000 0.0000 8.1558 0.3050 -2.0389 -2.3354 8.5646" Properties=species:S:1:pos:R:3 pbc="T T T"
Tb 0.0000 2.0138 0.0912
S 0.0000 1.9644 2.9917
Tb 2.0389 3.8066 8.7783
Tb 2.0389 3.9847 3.0263
As 2.0389 4.0779 0.1525
As 2.0389 -0.1749 5.7361
As 0.0000 5.9953 3.1335
Tb 0.0000 5.9223 6.0148
Tb 2.0389 -0.1019 2.8547
Si 2.0389 0.0000 0.0000
Tb 0.0000 1.8357 5.8433
S 2.0389 3.8560 5.8779
```

Results
SG: C2/m (12)
formation energy from raw total energies: -1588 meV per atom
E_tot: -6.206 eV/atom
density: 7.33 g cm⁻³
DOS(E_F): 0.174 states/eV per atom

=====

No. 13
Th6Si2AsS3: optimized geometry, PBE.

Structure (extended XYZ):
```
12
Lattice="4.2008 0.0000 0.0000 0.0000 8.2389 0.4041 -2.1004 -2.2637 8.7222" Properties=species:S:1:pos:R:3 pbc="T T T"
Th 2.1004 -0.0742 2.9864
Th 0.0000 6.1189 0.3021
As 2.1004 0.0000 0.0000
Si 0.0000 1.9841 3.0278
S 0.0000 6.1189 3.2334
S 2.1004 4.1194 0.2021
Th 0.0000 1.9155 5.9780
Th 2.1004 4.0596 3.1483
Si 2.1004 3.9911 6.0985
Th 0.0000 6.0494 6.1398
Th 2.1004 -0.1437 8.8241
S 2.1004 -0.1437 5.8928
```

Results
SG: C2/m (12)
formation energy from raw total energies: -1393 meV per atom
E_tot: -7.427 eV/atom
density: 8.80 g cm⁻³
DOS(E_F): 0.674 states/eV per atom

=====

No. 14
Th4Si2AsS: optimized geometry, PBE.

Structure (extended XYZ):
```
8
Lattice="4.2288 0.0000 0.0000 0.0000 7.2789 -0.1320 0.0000 2.5735 6.8607" Properties=species:S:1:pos:R:3 pbc="T T T"
S 0.0000 4.9262 3.3644
Si 2.1144 1.2868 3.4303
Th 4.2288 2.4323 1.7095
Si 0.0000 2.5735 6.8607
Th 2.1144 3.7118 5.1130
Th 0.0001 7.4201 5.0192
Th 2.1144 6.1406 1.6157
As 2.1144 3.6395 -0.0660
```

Results
SG: P2/m (10)
formation energy from raw total energies: -1152 meV per atom
E_tot: -7.314 eV/atom
density: 8.52 g cm⁻³
DOS(E_F): 0.488 states/eV per atom

=====

No. 15
Tm6SiAs3S2: optimized geometry, PBE.

Structure (extended XYZ):
```
12
Lattice="4.0016 0.0000 0.0000 0.0000 8.0029 0.2992 -2.0008 -2.2917 8.4001" Properties=species:S:1:pos:R:3 pbc="T T T"
Tm 0.0000 5.8143 5.9070
Si 2.0008 0.0000 0.0000
Tm 2.0008 -0.1031 2.7923
As 0.0000 5.8801 3.0816
Tm 0.0000 1.9696 0.0838
S 2.0008 3.7795 5.7620
As 2.0008 4.0014 0.1496
Tm 2.0008 3.9117 2.9679
Tm 0.0000 1.7996 5.7314
Tm 2.0008 3.7416 8.6156
S 0.0000 1.9317 2.9373
As 2.0008 -0.1689 5.6177
```

Results
SG: C2/m (12)
formation energy from raw total energies: -1547 meV per atom
E_tot: -6.085 eV/atom
density: 8.13 g cm⁻³
DOS(E_F): 0.166 states/eV per atom

=====

No. 16
Tm6Si2AsS3: optimized geometry, PBE.

Structure (extended XYZ):
```
12
Lattice="3.9783 0.0000 0.0000 0.0000 7.9392 0.3091 -1.9891 -2.2655 8.3469" Properties=species:S:1:pos:R:3 pbc="T T T"
Tm 0.0000 5.7254 5.8352
S 0.0000 5.8773 3.0124
Tm 1.9891 -0.0517 2.8208
Tm 0.0000 1.9866 0.1231
Tm 1.9891 3.8574 2.9742
Tm 1.9891 3.6871 8.5329
Tm 0.0000 1.8163 5.6818
Si 0.0000 1.8931 2.8882
Si 1.9891 3.7806 5.7678
As 1.9891 0.0000 0.0000
S 1.9891 3.9696 0.1546
S 1.9891 -0.2036 5.6436
```

Results
SG: C2/m (12)
formation energy from raw total energies: -1494 meV per atom
E_tot: -6.052 eV/atom
density: 7.73 g cm⁻³
DOS(E_F): 0.182 states/eV per atom

=====

No. 17
Tm4SiAsS2: optimized geometry, PBE.

Structure (extended XYZ):
```
8
Lattice="-0.8516 -2.0198 -3.3172 3.2834 -5.4752 2.4907 -4.4318 -3.9345 3.5334" Properties=species:S:1:pos:R:3 pbc="T T T"
S -2.6417 -2.9771 0.1081
S -4.4317 -3.9345 3.5334
Tm -0.8548 -7.0272 4.4981
As 1.2159 -3.7475 -0.4132
Tm -1.1452 -4.4022 -1.7912
Tm 0.8957 -6.0987 1.1005
Si -0.5742 -4.7048 3.0121
Tm -2.8957 -5.3308 1.6064
```

Results
SG: P2/m (10)
formation energy from raw total energies: -1567 meV per atom
E_tot: -6.094 eV/atom
density: 7.90 g cm⁻³
DOS(E_F): 0.169 states/eV per atom

=====

No. 18
Tm6SiAs2S3: optimized geometry, PBE.

Structure (extended XYZ):
```
12
Lattice="-2.5088 2.0226 2.3315 4.2180 -2.0982 6.3589 4.9863 6.3949 -3.5751" Properties=species:S:1:pos:R:3 pbc="T T T"
Tm 0.3087 3.2708 0.8876
S 4.7679 0.7458 4.4835
Tm 3.5041 7.8938 0.3156
S 0.8546 -0.0378 4.3452
Tm 3.1913 -1.5744 4.7997
S 1.9275 5.5736 0.6319
As 4.0371 4.5445 3.7945
Tm 6.3868 3.0486 4.2277
Tm 2.4472 2.2478 4.0762
Si -1.2544 1.0113 1.1658
As 2.6584 1.7748 1.3208
Tm 4.2483 4.0716 1.0392
```

Results
SG: C2/m (12)
formation energy from raw total energies: -1627 meV per atom
E_tot: -6.121 eV/atom
density: 8.07 g cm⁻³
DOS(E_F): 0.259 states/eV per atom

=====

No. 19
Tm4SiAs2S: optimized geometry, PBE.

Structure (extended XYZ):
```
8
Lattice="-0.5944 0.2917 3.9482 -6.3389 -2.7854 -0.7484 0.4407 -6.9351 0.5787" Properties=species:S:1:pos:R:3 pbc="T T T"
Si -2.9491 -4.8603 -0.0848
Tm -1.5703 -5.7494 2.2180
As 0.4407 -6.9351 0.5787
As -0.0768 -3.3217 2.2634
Tm -4.4156 -7.2612 -0.1282
Tm -2.0770 -2.1675 3.9067
Tm -4.9222 -3.6793 1.5605
S -3.4666 -1.2469 1.5999
```

Results
SG: P2/m (10)
formation energy from raw total energies: -1426 meV per atom
E_tot: -6.018 eV/atom
density: 8.02 g cm⁻³
DOS(E_F): 0.174 states/eV per atom

=====

No. 20
Y6Si2AsS3: optimized geometry, PBE.

Structure (extended XYZ):
```
12
Lattice="4.0402 0.0000 0.0000 0.0000 8.0792 0.3057 -2.0201 -2.3148 8.4878" Properties=species:S:1:pos:R:3 pbc="T T T"
As 2.0201 0.0000 0.0000
Y 2.0201 3.9262 3.0173
S 0.0000 5.9763 3.0597
Y 0.0000 5.8251 5.9267
Y 0.0000 1.8382 5.7762
S 2.0201 4.0396 0.1528
Si 0.0000 1.9230 2.9329
Si 2.0201 3.8415 5.8605
S 2.0201 -0.2118 5.7338
Y 0.0000 2.0212 0.1202
Y 2.0201 3.7433 8.6732
Y 2.0201 -0.0607 2.8668
```

Results
SG: C2/m (12)
formation energy from raw total energies: -1548 meV per atom
E_tot: -7.103 eV/atom
density: 4.51 g cm⁻³
DOS(E_F): 0.186 states/eV per atom

=====

No. 21
Y4SiAs2S: optimized geometry, PBE.

Structure (extended XYZ):
```
8
Lattice="-1.2423 -3.5713 -1.5015 5.3179 0.1098 -4.6609 5.6692 -3.1638 2.8345" Properties=species:S:1:pos:R:3 pbc="T T T"
Y 4.7765 -2.4978 -3.5229
Si 5.4936 -1.5270 -0.9132
S 2.0378 -1.7308 -3.0812
Y 4.9683 -4.1276 0.1950
Y 8.2149 -2.2806 -1.3725
As 5.6692 -3.1638 2.8345
As 2.2135 -3.3676 0.6665
Y 1.5299 -4.3448 -1.9555
```

Results
SG: P2/m (10)
formation energy from raw total energies: -1478 meV per atom
E_tot: -7.066 eV/atom
density: 4.88 g cm⁻³
DOS(E_F): 0.170 states/eV per atom

=====

No. 22
Sm8As6S: optimized geometry, PBE.

Structure (extended XYZ):
```
15
Lattice="4.4284 0.0000 0.0000 0.0000 9.0742 -5.2390 0.0000 0.0000 10.4780" Properties=species:S:1:pos:R:3 pbc="T T T"
As 3.3672 7.8966 0.9399
As 1.0612 1.1776 4.2991
As 3.3672 5.9399 -2.0696
Sm 3.2954 3.0247 5.2390
Sm 3.2613 2.9928 -1.4053
Sm 1.1672 2.7134 1.8892
As 1.0612 4.7623 4.1093
S 2.2142 0.0000 0.0000
Sm 3.2613 8.7948 -1.9446
As 3.3672 4.3119 1.1297
Sm 1.1672 6.0815 6.6443
Sm 1.1331 6.0495 0.0000
Sm 1.1672 0.2794 7.1836
Sm 3.2613 6.3608 3.3498
As 1.0612 3.1343 7.3086
```

Results
SG: P-3 (147)
formation energy from raw total energies: -1146 meV per atom
E_tot: -5.798 eV/atom
density: 6.64 g cm⁻³
DOS(E_F): 0.667 states/eV per atom

=====

No. 23
Sm2AsS: optimized geometry, PBE.

Structure (extended XYZ):
```
4
Lattice="4.0440 0.0000 0.0000 2.0220 3.5022 0.0000 2.0220 1.1674 7.1243" Properties=species:S:1:pos:R:3 pbc="T T T"
S 4.0440 2.3348 3.5936
Sm 2.0220 1.1674 1.7031
Sm 2.0220 1.1674 5.4145
As 6.0661 3.5022 7.0993
```

Results
SG: R3m (160)
formation energy from raw total energies: -1688 meV per atom
E_tot: -6.242 eV/atom
density: 6.71 g cm⁻³
DOS(E_F): 0.682 states/eV per atom